! GdMg2Cd (PBE, optimized geometry); values from VASP
&SYSTEM
  ibrav = 0, nat = 8, ntyp = 3
/
ATOMIC_SPECIES
Gd 157.25 Gd.upf
Mg 24.30 Mg.upf
Cd 112.41 Cd.upf
CELL_PARAMETERS angstrom
5.0934 0.0000 0.0000
0.0000 5.6379 3.3937
0.0000 -5.6379 3.3937
ATOMIC_POSITIONS angstrom
Gd 1.2734 -3.9120 3.3937
Gd 3.8201 3.9120 3.3937
Mg 1.2734 -0.9630 4.9089
Mg 1.2734 1.8380 3.3573
Mg 3.8201 -1.8380 3.3573
Mg 3.8201 0.9630 4.9089
Cd 1.2734 -1.0489 1.7676
Cd 3.8201 1.0489 1.7676
! Space-group type = Ama2
! Volume = 24.4 A^3/atom
! Spin magnetization = 0.003 μB per atom
! Total energy = -9.37 eV/f.u.

---

! LuFePtPb (PBE, optimized geometry); values from VASP
&SYSTEM
  ibrav = 0, nat = 4, ntyp = 4
/
ATOMIC_SPECIES
Lu 174.97 Lu.upf
Fe 55.84 Fe.upf
Pt 195.08 Pt.upf
Pb 207.20 Pb.upf
CELL_PARAMETERS angstrom
0.0000 3.4017 3.4017
3.4017 0.0000 3.4017
3.4017 3.4017 0.0000
ATOMIC_POSITIONS angstrom
Lu 0.0000 0.0000 0.0000
Fe 3.4017 3.4017 3.4017
Pt 5.1025 5.1025 5.1025
Pb 1.7008 1.7008 1.7008
! Space-group type = F-43m
! Volume = 19.7 A^3/atom
! Spin magnetization = 0.702 μB per atom
! Energy relative to the lowest polymorph listed for this composition = 0.38 eV per formula unit

---

! Cs3GdSi4O10F2 (PBE, optimized geometry); values from VASP
&SYSTEM
  ibrav = 0, nat = 40, ntyp = 5
/
ATOMIC_SPECIES
Cs 132.91 Cs.upf
Gd 157.25 Gd.upf
Si 28.09 Si.upf
O 16.00 O.upf
F 19.00 F.upf
CELL_PARAMETERS angstrom
7.0331 0.0000 0.0000
-3.5077 6.1299 0.0000
-0.0386 -1.8911 16.0182
ATOMIC_POSITIONS angstrom
Cs -0.0513 1.2910 2.8945
Cs -0.0392 1.0870 7.1808
Cs 0.0142 0.4435 14.7206
Cs 3.4726 3.7953 1.2976
Cs 3.5260 3.1519 8.8374
Cs 3.5381 2.9478 13.1237
Gd 3.5166 0.0000 0.0000
Gd 3.4972 -0.9455 8.0091
Si -2.2731 4.2812 5.1739
Si -0.3512 2.8084 10.8195
Si 1.6128 0.5830 10.6649
Si -0.0269 5.1147 3.4048
Si 3.5137 -0.8758 12.6134
Si 1.8740 3.6559 5.3533
Si 3.8380 1.4305 5.1987
Si 5.7599 -0.0424 10.8443
O -1.4355 1.5852 11.1169
O 0.3370 -0.3976 11.0574
O -1.7441 4.7144 6.6047
O -1.6152 5.0563 3.8727
O -0.5688 3.4493 9.3816
O -0.6039 3.8154 12.0948
O 2.0968 0.4234 9.1623
O 0.1608 4.8716 1.8543
O 1.1539 2.1450 11.0004
O 0.7049 3.9068 4.2439
O 2.7819 0.3320 11.7743
O 2.3329 2.0938 5.0178
O 3.3260 -0.6328 14.1639
O 1.3900 3.8154 6.8559
O 4.0907 0.4234 3.9235
O 4.0556 0.7895 6.6366
O 5.1019 -0.8175 12.1455
O 5.2309 -0.4756 9.4135
O 3.1498 4.6364 4.9608
O 4.9223 2.6536 4.9013
F -1.6231 2.8431 15.3096
F 1.9364 1.3311 0.8440
F 1.5504 2.9077 15.1742
F 5.1099 1.3958 0.7086
! Space-group type = P-1
! Volume = 17.3 A^3/atom
! Spin magnetization = 0.001 μB per atom
! Total energy = -139.64 eV/f.u.

---

! PrNdH2O4 (PBE, optimized geometry); values from VASP
&SYSTEM
  ibrav = 0, nat = 8, ntyp = 4
/
ATOMIC_SPECIES
Pr 140.91 Pr.upf
Nd 144.24 Nd.upf
H 1.01 H.upf
O 16.00 O.upf
CELL_PARAMETERS angstrom
4.4158 0.0000 0.0000
0.0000 3.7980 0.0000
-2.0003 0.0000 5.9018
ATOMIC_POSITIONS angstrom
Pr 0.0000 0.0000 0.0000
Nd 2.1873 1.8990 2.2829
H -0.1201 1.8990 4.5224
H 0.3061 0.0000 3.5909
O -1.0889 1.8990 4.4456
O -0.0399 1.8990 1.4207
O 2.2283 0.0000 0.8928
O 1.2725 0.0000 3.7156
! Space-group type = Pm
! Volume = 12.4 A^3/atom
! Spin magnetization = 0.000 μB per atom
! Total energy = -56.32 eV/f.u.

---

! Zr2In2O5 (PBE, optimized geometry); values from VASP
&SYSTEM
  ibrav = 0, nat = 9, ntyp = 3
/
ATOMIC_SPECIES
Zr 91.22 Zr.upf
In 114.82 In.upf
O 16.00 O.upf
CELL_PARAMETERS angstrom
4.0370 0.0000 0.0000
0.0000 4.0370 0.0000
0.0000 0.0000 8.1554
ATOMIC_POSITIONS angstrom
Zr 0.0000 0.0000 2.0261
Zr 0.0000 0.0000 6.1292
In 2.0185 2.0185 0.0000
In 2.0185 2.0185 4.0777
O 0.0000 0.0000 0.0000
O 0.0000 2.0185 2.6154
O 0.0000 2.0185 5.5400
O 2.0185 0.0000 2.6154
O 2.0185 0.0000 5.5400
! Space-group type = P4/mmm
! Volume = 14.8 A^3/atom
! Spin magnetization = 0.000 μB per atom
! Total energy = -65.90 eV/f.u.

---

! TbSmNO (PBE, optimized geometry); values from VASP
&SYSTEM
  ibrav = 0, nat = 8, ntyp = 4
/
ATOMIC_SPECIES
Tb 158.93 Tb.upf
Sm 150.36 Sm.upf
N 14.01 N.upf
O 16.00 O.upf
CELL_PARAMETERS angstrom
4.2771 0.0000 0.0000
0.0000 4.2771 0.0000
0.0000 0.0000 7.9099
ATOMIC_POSITIONS angstrom
Tb 1.0693 1.0693 0.8218
Tb 3.2078 3.2078 7.0882
Sm 1.0693 3.2078 3.9550
Sm 3.2078 1.0693 3.9550
N 1.0693 1.0693 5.0886
N 3.2078 3.2078 2.8214
O 1.0693 3.2078 0.0000
O 3.2078 1.0693 0.0000
! Space-group type = P4/nmm
! Volume = 18.1 A^3/atom
! Spin magnetization = 0.135 μB per atom
! Energy relative to the lowest polymorph listed for this composition = 2.13 eV per formula unit

---

> Which value of volume does entry 5 give?

14.8 A^3/atom

---

Please write out number 1 again, unchanged.
! GdMg2Cd (PBE, optimized geometry); values from VASP
&SYSTEM
  ibrav = 0, nat = 8, ntyp = 3
/
ATOMIC_SPECIES
Gd 157.25 Gd.upf
Mg 24.30 Mg.upf
Cd 112.41 Cd.upf
CELL_PARAMETERS angstrom
5.0934 0.0000 0.0000
0.0000 5.6379 3.3937
0.0000 -5.6379 3.3937
ATOMIC_POSITIONS angstrom
Gd 1.2734 -3.9120 3.3937
Gd 3.8201 3.9120 3.3937
Mg 1.2734 -0.9630 4.9089
Mg 1.2734 1.8380 3.3573
Mg 3.8201 -1.8380 3.3573
Mg 3.8201 0.9630 4.9089
Cd 1.2734 -1.0489 1.7676
Cd 3.8201 1.0489 1.7676
! Space-group type = Ama2
! Volume = 24.4 A^3/atom
! Spin magnetization = 0.003 μB per atom
! Total energy = -9.37 eV/f.u.